Material: La5TbMg2
Method: DFT, GGA-PBE
State: relaxed

## Properties
magnetization	0.00	μB/atom
formation energy from the elements	0.01	eV/f.u.
raw total energy	-4.056	eV/atom
space-group type	No. 107

Structure (POSCAR):
```
La5TbMg2
1.0
-4.1666 4.1666 3.8448
4.1666 -4.1666 3.8448
4.1666 4.1666 -3.8448
La Tb Mg
5 1 2
direct
0.0000 0.0000 0.0000
0.0012 0.0012 0.5001
0.0012 0.5011 0.0000
0.5011 0.0012 0.0000
0.5011 0.5011 0.4999
0.5018 0.5018 0.0000
0.0014 0.5014 0.5000
0.5014 0.0014 0.5000
```